Compound: BaGa3Pt2
Source: Alexandria
Functional: GGA-PBE
Structure: relaxed

Computed properties:
- ΔE_f (meV/atom) = -690

abc: 4.338 8.803 10.582
angles: 107.19 90.00 104.26
Fractional positions:
Ga 0.634 0.269 0.200
Ga 0.783 0.566 0.609
Ga 0.046 0.093 0.365
Ga 0.333 0.667 0.041
Ga 0.366 0.731 0.800
Ga 0.217 0.434 0.391
Ga 0.667 0.333 0.959
Ga 0.500 0.000 0.500
Ga 0.954 0.907 0.635
Pt 0.640 0.279 0.441
Pt 0.519 0.037 0.772
Pt 0.198 0.395 0.119
Pt 0.802 0.605 0.881
Pt 0.481 0.963 0.228
Pt 0.360 0.721 0.559
Ba 0.157 0.315 0.708
Ba 0.000 0.000 0.000
Ba 0.843 0.685 0.292

=====

Compound: HoTm8Mg6
Source: Alexandria
Functional: GGA-PBE
Structure: relaxed

Computed properties:
- ΔE_f (meV/atom) = 220

abc: 9.014 9.014 8.230
angles: 56.79 56.79 60.00
Fractional positions:
Tm 0.783 0.117 0.650
Tm 0.338 0.338 0.986
Tm 0.217 0.883 0.350
Tm 0.662 0.662 0.014
Tm 0.450 0.783 0.650
Tm 0.117 0.450 0.650
Tm 0.883 0.550 0.350
Tm 0.550 0.217 0.350
Mg 0.046 0.716 0.855
Mg 0.616 0.954 0.145
Mg 0.954 0.284 0.145
Mg 0.384 0.046 0.855
Mg 0.716 0.384 0.855
Mg 0.284 0.616 0.145
Ho 0.000 0.000 0.000

=====

Compound: Sc2PaMn
Source: Alexandria
Functional: GGA-PBE
Structure: relaxed

Computed properties:
- ΔE to the lowest computed polymorph (meV per atom) = 242
- ΔE_f (meV/atom) = 132

abc: 3.103 3.103 8.607
angles: 90.00 90.00 90.00
Each line ends with the local moment (μB).
Fractional positions:
Sc 0.000 0.000 0.203  -0.19
Sc 0.000 0.000 0.797  -0.19
Mn 0.500 0.500 0.000  2.50
Pa 0.500 0.500 0.500  0.34

=====

Compound: Zn3ReF
Source: Alexandria
Functional: GGA-PBE
Structure: relaxed

Computed properties:
- E_form (uncorrected) (eV per atom) = 0.17
- ΔE to the lowest computed polymorph (meV per atom) = 0

abc: 4.142 4.142 4.142
angles: 90.00 90.00 90.00
Fractional positions:
Zn 0.500 0.000 0.000
Zn 0.000 0.500 0.000
Zn 0.000 0.000 0.500
Re 0.500 0.500 0.500
F 0.000 0.000 0.000

=====

Compound: Ca3HgGe2Au9
Source: Alexandria
Functional: GGA-PBE
Structure: relaxed

Computed properties:
- ΔE_f (meV/atom) = -288

abc: 6.048 6.048 11.692
angles: 90.00 90.00 120.00
Fractional positions:
Ca 0.000 0.000 0.000
Ca 0.667 0.333 0.421
Ca 0.333 0.667 0.579
Ge 0.667 0.333 0.840
Ge 0.333 0.667 0.160
Au 0.500 0.500 0.000
Au 0.500 0.000 0.000
Au 0.834 0.669 0.683
Au 0.000 0.500 0.000
Au 0.166 0.331 0.317
Au 0.834 0.166 0.683
Au 0.331 0.166 0.683
Au 0.166 0.834 0.317
Au 0.669 0.834 0.317
Hg 0.000 0.000 0.500

=====

Compound: Nd5Tl2Se2
Source: Alexandria
Functional: GGA-PBE
Structure: relaxed

Computed properties:
- E_form (uncorrected) (eV per atom) = -0.87

abc: 8.283 8.178 8.796
angles: 117.70 90.00 90.00
Fractional positions:
Nd 0.163 0.204 0.744
Nd 0.663 0.296 0.256
Nd 0.663 0.040 0.744
Nd 0.837 0.796 0.256
Nd 0.000 0.000 0.000
Nd 0.337 0.960 0.256
Nd 0.163 0.460 0.256
Nd 0.500 0.500 0.000
Nd 0.837 0.540 0.744
Nd 0.337 0.704 0.744
Tl 0.000 0.791 0.582
Tl 0.500 0.709 0.418
Tl 0.000 0.209 0.418
Tl 0.500 0.291 0.582
Se 0.644 0.860 0.000
Se 0.856 0.360 0.000
Se 0.356 0.140 0.000
Se 0.144 0.640 0.000

=====

Compound: RbScSi2Se
Source: Alexandria
Functional: GGA-PBE
Structure: relaxed

Computed properties:
- E_form (uncorrected) (eV per atom) = 0.02

abc: 5.239 5.244 5.239
angles: 90.00 90.00 90.00
Fractional positions:
Si 0.500 0.000 0.000
Si 0.000 0.000 0.500
Se 0.000 0.500 0.000
Rb 0.500 0.500 0.500
Sc 0.000 0.000 0.000

=====

Compound: LaHfAl2
Source: Alexandria
Functional: GGA-PBE
Structure: relaxed

Computed properties:
- ΔE to the lowest computed polymorph (meV per atom) = 0
- ΔE_f (meV/atom) = -270

abc: 3.635 3.635 6.933
angles: 90.00 90.00 90.00
Fractional positions:
Hf 0.500 0.500 0.000
Al 0.000 0.000 0.801
Al 0.000 0.000 0.199
La 0.500 0.500 0.500

=====

Number 1: total DFT energy (no corrections) -0.334 Ry/atom. Number 2: total DFT energy (no corrections) -0.228 Ry/atom. Number 3: total DFT energy (no corrections) -0.566 Ry/atom. Number 4: total DFT energy (no corrections) -0.254 Ry/atom. Number 5: total DFT energy (no corrections) -0.242 Ry/atom. Number 6: total DFT energy (no corrections) -0.354 Ry/atom. Number 7: total DFT energy (no corrections) -0.316 Ry/atom. Number 8: total DFT energy (no corrections) -0.431 Ry/atom.